Entry 1:
# GGA-PBE ThGePb, optimized geometry
data_ThGePb
_cell_length_a 5.135
_cell_length_b 5.135
_cell_length_c 5.135
_cell_angle_alpha 60.00
_cell_angle_beta 60.00
_cell_angle_gamma 60.00
_symmetry_space_group_name_H-M 'P 1'
_symmetry_Int_Tables_number 1
loop_
_symmetry_equiv_pos_as_xyz
'x,y,z'
loop_
_atom_site_label
_atom_site_type_symbol
_atom_site_fract_x
_atom_site_fract_y
_atom_site_fract_z
_atom_site_occupancy
Th1 Th 0.000 0.000 0.000 1
Ge1 Ge 0.500 0.500 0.500 1
Pb1 Pb 0.250 0.250 0.250 1
# Energy = -4.9229 eV/atom
# Excess energy over the best structure of this formula in the dataset = 0.00 kcal/mol of atoms

=====

Entry 2:
# GGA-PBE TmGePb, optimized geometry
data_TmGePb
_cell_length_a 4.980
_cell_length_b 4.980
_cell_length_c 4.980
_cell_angle_alpha 60.00
_cell_angle_beta 60.00
_cell_angle_gamma 60.00
_symmetry_space_group_name_H-M 'P 1'
_symmetry_Int_Tables_number 1
loop_
_symmetry_equiv_pos_as_xyz
'x,y,z'
loop_
_atom_site_label
_atom_site_type_symbol
_atom_site_fract_x
_atom_site_fract_y
_atom_site_fract_z
_atom_site_occupancy
Tm1 Tm 0.000 0.000 0.000 1
Ge1 Ge 0.750 0.750 0.750 1
Pb1 Pb 0.250 0.250 0.250 1
# Energy = -4.3013 eV/atom